# LaHfAg (PBE, optimized geometry)
data_LaHfAg
_chemical_formula_sum 'La2 Hf2 Ag2'
_cell_length_a 3.3269
_cell_length_b 5.0390
_cell_length_c 8.9851
_cell_angle_alpha 90.00
_cell_angle_beta 90.00
_cell_angle_gamma 90.00
_space_group_name_H-M_alt 'P m m 2'
_space_group_IT_number 25
_space_group_name_Hall 'P 2 -2'
loop_
_atom_site_label
_atom_site_type_symbol
_atom_site_fract_x
_atom_site_fract_y
_atom_site_fract_z
La1 La 0.0000 0.0000 0.0000
La2 La 0.0000 0.5000 0.4306
Hf1 Hf 0.0000 0.5000 0.7798
Hf2 Hf 0.5000 0.0000 0.6579
Ag1 Ag 0.5000 0.0000 0.3147
Ag2 Ag 0.5000 0.5000 0.1068
# Crystal system = orthorhombic
# DFT formation energy = -5 meV/atom
# M_tot = 0.000 μB per atom
# Total DFT energy (no corrections) = -35.49 eV/cell
# Polymorph energy (0 for the lowest one) = 0.0294 eV per atom

---

# PmHo3Tm (PBE, optimized geometry)
data_PmHo3Tm
_chemical_formula_sum 'Pm4 Ho12 Tm4'
_cell_length_a 4.9560
_cell_length_b 14.7677
_cell_length_c 9.6687
_cell_angle_alpha 90.00
_cell_angle_beta 90.00
_cell_angle_gamma 90.00
_space_group_name_H-M_alt 'C m c m'
_space_group_IT_number 63
_space_group_name_Hall '-C 2c 2'
loop_
_atom_site_label
_atom_site_type_symbol
_atom_site_fract_x
_atom_site_fract_y
_atom_site_fract_z
Pm1 Pm 0.0000 0.1656 0.2500
Ho1 Ho 0.0000 0.1716 0.7500
Ho2 Ho 0.0000 0.3317 0.0025
Tm1 Tm 0.0000 0.4987 0.2500
# Crystal system = orthorhombic
# DFT formation energy = 374 meV/atom
# M_tot = 0.000 μB per atom
# Total DFT energy (no corrections) = -84.33 eV/cell
# Polymorph energy (0 for the lowest one) = 0.3649 eV per atom

---

# Sm3DyTm2 (PBE, optimized geometry)
data_Sm3DyTm2
_chemical_formula_sum 'Sm12 Dy4 Tm8'
_cell_length_a 14.9083
_cell_length_b 9.9288
_cell_length_c 5.6045
_cell_angle_alpha 90.00
_cell_angle_beta 90.00
_cell_angle_gamma 90.00
_space_group_name_H-M_alt 'C m c m'
_space_group_IT_number 63
_space_group_name_Hall '-C 2c 2'
loop_
_atom_site_label
_atom_site_type_symbol
_atom_site_fract_x
_atom_site_fract_y
_atom_site_fract_z
Sm1 Sm 0.0000 0.0886 0.2500
Sm2 Sm 0.2430 0.1316 0.2500
Dy1 Dy 0.0000 0.2729 0.7500
Tm1 Tm 0.1062 0.4019 0.2500
# Crystal system = orthorhombic
# DFT formation energy = 301 meV/atom
# M_tot = 0.000 μB per atom
# Total DFT energy (no corrections) = -103.59 eV/cell
# Polymorph energy (0 for the lowest one) = 0.2984 eV per atom

---

# Sr3CuPd (PBE, optimized geometry)
data_Sr3CuPd
_chemical_formula_sum 'Sr6 Cu2 Pd2'
_cell_length_a 7.3283
_cell_length_b 4.2396
_cell_length_c 10.9730
_cell_angle_alpha 90.00
_cell_angle_beta 101.03
_cell_angle_gamma 90.00
_space_group_name_H-M_alt 'P 1 21/m 1'
_space_group_IT_number 11
_space_group_name_Hall '-P 2yb'
loop_
_atom_site_label
_atom_site_type_symbol
_atom_site_fract_x
_atom_site_fract_y
_atom_site_fract_z
Sr1 Sr 0.2304 0.2500 0.0662
Sr2 Sr 0.2424 0.7500 0.7519
Sr3 Sr 0.2599 0.2500 0.4334
Cu1 Cu 0.4344 0.7500 0.2763
Pd1 Pd 0.0694 0.7500 0.2232
# Crystal system = monoclinic
# DFT formation energy = -283 meV/atom
# M_tot = 0.000 μB per atom
# Total DFT energy (no corrections) = -31.50 eV/cell
# Polymorph energy (0 for the lowest one) = 0.0000 eV per atom